8
Lattice="5.2461 0.0000 0.0000 2.6231 4.5433 0.0000 2.6231 1.5144 8.5801" Properties=species:S:1:pos:R:3 comment="PBE-GGA CaDyEr2Hg4, optimized geometry" delta_e_f_ev_per_atom=-0.506 magmom_total_mub_per_fu=0.00 sg="R-3m, No. 166" total_energy_ev_per_atom=-2.623 pbc="T T T"
Ca 0.0000 0.0000 0.0000
Dy 5.2461 3.0289 4.2900
Er 7.8692 4.5433 6.4680
Er 2.6231 1.5144 2.1121
Hg 5.2461 3.0289 7.4752
Hg 7.8692 4.5433 3.2451
Hg 2.6231 1.5144 5.3349
Hg 5.2461 3.0289 1.1048